[1]
Density functional theory data (GGA-PBE) for a relaxed RbPr2CuTe3S crystal.

Cell: 8.0042 8.0042 15.3051 Å, 90.00 90.00 148.10°
Closest atoms and distances in Å follow each position.
Sites, in units of the cell vectors:
Rb 0.0839 0.9161 0.7500  2 S 3.39, 4 Te 3.69, 1 Cu 3.75
Rb 0.9161 0.0839 0.2500  2 S 3.39, 4 Te 3.69, 1 Cu 3.75
Pr 0.3634 0.6366 0.5749  1 S 2.80, 2 Te 3.13
Pr 0.3634 0.6366 0.9251  1 S 2.80, 2 Te 3.13
Pr 0.6366 0.3634 0.0749  1 S 2.80, 2 Te 3.13
Pr 0.6366 0.3634 0.4251  1 S 2.80, 2 Te 3.13
Cu 0.1599 0.8401 0.2500  2 S 2.49, 2 Te 2.66
Cu 0.8401 0.1599 0.7500  2 S 2.49, 2 Te 2.66
Te 0.0000 0.0000 0.0000  4 Pr 3.25
Te 0.0000 0.0000 0.5000  4 Pr 3.25
Te 0.2741 0.7259 0.1195  1 Cu 2.66
Te 0.2741 0.7259 0.3805  1 Cu 2.66
Te 0.7259 0.2741 0.6195  1 Cu 2.66
Te 0.7259 0.2741 0.8805  1 Cu 2.66
S 0.4160 0.5840 0.7500  2 Cu 2.49
S 0.5840 0.4160 0.2500  2 Cu 2.49

## Properties
Raw total energy: -4.74 eV/atom

=====

[2]
Density functional theory data (GGA-PBE) for a relaxed CuAg4 crystal.

Cell: 2.8846 2.8846 20.0194 Å, 90.00 90.00 90.00°
Closest atoms and distances in Å follow each position.
Sites, in units of the cell vectors:
Cu 0.0000 0.0000 0.1969  8 Ag 2.73, 4 Cu 2.88
Cu 0.0000 0.0000 0.8031  8 Ag 2.73, 4 Cu 2.88
Ag 0.0000 0.0000 0.0000  12 Ag 2.88-2.95
Ag 0.0000 0.0000 0.3939  12 Ag 2.88-2.95
Ag 0.0000 0.0000 0.6061  12 Ag 2.88-2.95
Ag 0.5000 0.5000 0.1065  4 Cu 2.73, 8 Ag 2.88-2.95
Ag 0.5000 0.5000 0.2875  4 Cu 2.73, 8 Ag 2.88-2.95
Ag 0.5000 0.5000 0.5000  12 Ag 2.88-2.95
Ag 0.5000 0.5000 0.7125  4 Cu 2.73, 8 Ag 2.88-2.95
Ag 0.5000 0.5000 0.8935  4 Cu 2.73, 8 Ag 2.88-2.95

## Properties
Raw total energy: -2.96 eV/atom
Formation enthalpy at 0 K: 0.040 eV per atom
Offset from the most stable computed form: 16 meV per atom

=====

[3]
Density functional theory data (GGA-PBE) for a relaxed KLuCoSe3 crystal.

Cell: 7.7195 7.7195 10.5816 Å, 90.00 90.00 149.95°
Closest atoms and distances in Å follow each position.
Sites, in units of the cell vectors:
K 0.2463 0.7537 0.7500  6 Se 3.36-3.41
K 0.7537 0.2463 0.2500  6 Se 3.36-3.41
Lu 0.5000 0.5000 0.0000  6 Se 2.80-2.82
Lu 0.5000 0.5000 0.5000  6 Se 2.80-2.82
Co 0.0300 0.9700 0.2500  4 Se 2.39-2.46
Co 0.9700 0.0300 0.7500  4 Se 2.39-2.46
Se 0.1230 0.8770 0.0659  1 Co 2.39
Se 0.1230 0.8770 0.4341  1 Co 2.39
Se 0.4343 0.5657 0.2500  2 Co 2.46
Se 0.5657 0.4343 0.7500  2 Co 2.46
Se 0.8770 0.1230 0.5659  1 Co 2.39
Se 0.8770 0.1230 0.9341  1 Co 2.39

## Properties
Raw total energy: -5.01 eV/atom
Offset from the most stable computed form: 17 meV per atom

=====

[4]
Density functional theory data (GGA-PBE) for a relaxed ReAgPt crystal.

Cell: 4.2677 4.2677 4.2677 Å, 60.00 60.00 60.00°
Closest atoms and distances in Å follow each position.
Sites, in units of the cell vectors:
Re 0.0000 0.0000 0.0000  4 Pt 2.61
Ag 0.5000 0.5000 0.5000  4 Pt 2.61
Pt 0.7500 0.7500 0.7500  4 Re 2.61, 4 Ag 2.61

## Properties
Raw total energy: -6.34 eV/atom
Formation enthalpy at 0 K: 0.762 eV per atom
Offset from the most stable computed form: 0 meV per atom

=====

[5]
Density functional theory data (GGA-PBE) for a relaxed AgBi5Au3 crystal.

Cell: 5.8528 5.8528 8.5711 Å, 90.00 90.00 120.00°
Closest atoms and distances in Å follow each position.
Sites, in units of the cell vectors:
Ag 0.0000 0.0000 0.0000  12 Bi 3.77
Bi 0.0000 0.0000 0.5000  6 Au 2.93
Bi 0.3333 0.6667 0.1943  3 Au 3.12, 4 Bi 3.33-3.38
Bi 0.3333 0.6667 0.8057  3 Au 3.12, 4 Bi 3.33-3.38
Bi 0.6667 0.3333 0.1943  3 Au 3.12, 4 Bi 3.33-3.38
Bi 0.6667 0.3333 0.8057  3 Au 3.12, 4 Bi 3.33-3.38
Au 0.0000 0.5000 0.5000  6 Bi 2.93-3.12, 4 Au 2.93
Au 0.5000 0.0000 0.5000  4 Au 2.93, 6 Bi 2.93-3.12
Au 0.5000 0.5000 0.5000  6 Bi 2.93-3.12, 4 Au 2.93

## Properties
Raw total energy: -3.47 eV/atom

=====

[6]
Density functional theory data (GGA-PBE) for a relaxed PmCu4Pd8 crystal.

Cell: 6.8245 6.8245 6.8245 Å, 97.78 97.78 136.83°
Closest atoms and distances in Å follow each position.
Sites, in units of the cell vectors:
Pm 0.0000 0.0000 0.0000  12 Pd 3.12-3.19, 8 Cu 3.41
Cu 0.0000 0.0000 0.5000  2 Cu 2.51, 8 Pd 2.59-2.72
Cu 0.0000 0.5000 0.0000  2 Cu 2.51, 8 Pd 2.59-2.72
Cu 0.5000 0.0000 0.0000  2 Cu 2.51, 8 Pd 2.59-2.72
Cu 0.5000 0.5000 0.5000  2 Cu 2.51, 8 Pd 2.59-2.72
Pd 0.0000 0.3482 0.3482  4 Cu 2.72, 5 Pd 2.72-2.87
Pd 0.0000 0.6518 0.6518  4 Cu 2.72, 5 Pd 2.72-2.87
Pd 0.2815 0.5000 0.7815  4 Cu 2.59, 6 Pd 2.77-2.87
Pd 0.3482 0.0000 0.3482  4 Cu 2.72, 5 Pd 2.72-2.87
Pd 0.5000 0.2815 0.7815  4 Cu 2.59, 6 Pd 2.77-2.87
Pd 0.5000 0.7185 0.2185  4 Cu 2.59, 6 Pd 2.77-2.87
Pd 0.6518 0.0000 0.6518  4 Cu 2.72, 5 Pd 2.72-2.87
Pd 0.7185 0.5000 0.2185  4 Cu 2.59, 6 Pd 2.77-2.87

## Properties
Raw total energy: -5.03 eV/atom
Formation enthalpy at 0 K: -0.333 eV per atom

=====

[7]
Density functional theory data (GGA-PBE) for a relaxed CuB2Pd crystal.

Cell: 3.9018 3.9018 3.9018 Å, 60.00 60.00 60.00°
Closest atoms and distances in Å follow each position.
Sites, in units of the cell vectors:
Cu 0.0000 0.0000 0.0000  4 B 2.39, 4 Pd 2.39
B 0.5000 0.5000 0.5000  4 B 2.39, 4 Pd 2.39
B 0.7500 0.7500 0.7500  4 Cu 2.39, 4 B 2.39
Pd 0.2500 0.2500 0.2500  4 B 2.39, 4 Cu 2.39

## Properties
Raw total energy: -4.53 eV/atom

=====

[8]
Density functional theory data (GGA-PBE) for a relaxed SmCuTe3Pb crystal.

Cell: 10.3771 10.3771 8.6829 Å, 102.61 102.61 24.30°
Closest atoms and distances in Å follow each position.
Sites, in units of the cell vectors:
Sm 0.1590 0.1590 0.0825  6 Te 3.08-3.21
Sm 0.8410 0.8410 0.9175  6 Te 3.08-3.21
Cu 0.4536 0.4536 0.7939  4 Te 2.61-2.91
Cu 0.5464 0.5464 0.2061  4 Te 2.61-2.91
Te 0.0000 0.0000 0.0000  4 Cu 2.85, 2 Sm 3.14
Te 0.3213 0.3213 0.1579  3 Sm 3.11-3.21, 2 Pb 3.26
Te 0.3247 0.3247 0.6612  1 Cu 2.61
Te 0.5000 0.5000 0.5000  2 Cu 2.91, 4 Pb 3.22
Te 0.6753 0.6753 0.3388  1 Cu 2.61
Te 0.6787 0.6787 0.8421  3 Sm 3.11-3.21, 2 Pb 3.26
Pb 0.1198 0.1198 0.5670  6 Te 3.22-3.31
Pb 0.8802 0.8802 0.4330  6 Te 3.22-3.31

## Properties
Raw total energy: -4.25 eV/atom
Offset from the most stable computed form: 69 meV per atom

=====

[9]
Density functional theory data (GGA-PBE) for a relaxed HfMgFePb crystal.

Cell: 4.7211 4.7211 4.7211 Å, 60.00 60.00 60.00°
Closest atoms and distances in Å follow each position.
Sites, in units of the cell vectors:
Hf 0.0000 0.0000 0.0000  4 Mg 2.89, 4 Pb 2.89
Mg 0.7500 0.7500 0.7500  4 Fe 2.89, 4 Hf 2.89
Fe 0.5000 0.5000 0.5000  4 Mg 2.89, 4 Pb 2.89
Pb 0.2500 0.2500 0.2500  4 Fe 2.89, 4 Hf 2.89

## Properties
Raw total energy: -5.43 eV/atom
Offset from the most stable computed form: 224 meV per atom

=====

[10]
Density functional theory data (GGA-PBE) for a relaxed Nd2HoIn3Ge2Pt crystal.

Cell: 4.4030 7.4421 7.4421 Å, 119.84 90.00 90.00°
Closest atoms and distances in Å follow each position.
Sites, in units of the cell vectors:
Nd 0.0000 0.2039 0.7961  1 Pt 3.08, 4 Ge 3.17-3.18, 4 In 3.39-3.44
Nd 0.0000 0.7961 0.2039  1 Pt 3.08, 4 Ge 3.17-3.18, 4 In 3.39-3.44
Ho 0.0000 0.3889 0.3889  1 Pt 2.95, 4 Ge 3.11
In 0.5000 0.0361 0.0361  2 Ge 2.85, 2 Pt 2.90, 2 In 3.14
In 0.5000 0.5501 0.7948  2 Pt 2.83, 2 Ge 2.85-2.93, 2 In 3.14-3.15
In 0.5000 0.7948 0.5501  2 Pt 2.83, 2 Ge 2.85-2.93, 2 In 3.14-3.15
Ge 0.5000 0.1348 0.4584  3 In 2.85-2.93, 2 Ho 3.11, 4 Nd 3.17-3.18
Ge 0.5000 0.4584 0.1348  3 In 2.85-2.93, 2 Ho 3.11, 4 Nd 3.17-3.18
Pt 0.0000 0.7840 0.7840  6 In 2.83-2.90, 1 Ho 2.95, 2 Nd 3.08

## Properties
Raw total energy: -4.92 eV/atom

=====

[11]
Density functional theory data (GGA-PBE) for a relaxed LiScNiPb crystal.

Cell: 4.5357 4.5357 4.5357 Å, 60.00 60.00 60.00°
Closest atoms and distances in Å follow each position.
Sites, in units of the cell vectors:
Li 0.0000 0.0000 0.0000  4 Pb 2.78, 4 Sc 2.78
Sc 0.7500 0.7500 0.7500  4 Ni 2.78, 4 Li 2.78
Ni 0.5000 0.5000 0.5000  4 Sc 2.78, 4 Pb 2.78
Pb 0.2500 0.2500 0.2500  4 Li 2.78, 4 Ni 2.78

## Properties
Raw total energy: -4.78 eV/atom
Offset from the most stable computed form: 0 meV per atom

=====

[12]
Density functional theory data (GGA-PBE) for a relaxed IrBr5 crystal.

Cell: 6.3596 6.7955 8.9931 Å, 72.69 89.79 62.33°
Closest atoms and distances in Å follow each position.
Sites, in units of the cell vectors:
Ir 0.0969 0.2975 0.2140  6 Br 2.43-2.57
Ir 0.9031 0.7025 0.7860  6 Br 2.43-2.57
Br 0.0743 0.6850 0.5449  1 Ir 2.43
Br 0.1334 0.8793 0.8517  1 Ir 2.45
Br 0.2495 0.3000 0.9487  2 Ir 2.55-2.57
Br 0.3229 0.4906 0.2533  1 Ir 2.44
Br 0.4388 0.9084 0.3493  1 Ir 2.44
Br 0.5612 0.0916 0.6507  1 Ir 2.44
Br 0.6771 0.5094 0.7467  1 Ir 2.44
Br 0.7505 0.7000 0.0513  2 Ir 2.55-2.57
Br 0.8666 0.1207 0.1483  1 Ir 2.45
Br 0.9257 0.3150 0.4551  1 Ir 2.43

## Properties
Raw total energy: -2.96 eV/atom

=====

[13]
Density functional theory data (GGA-PBE) for a relaxed AlPdPt2 crystal.

Cell: 4.4262 4.4262 4.4262 Å, 60.00 60.00 60.00°
Closest atoms and distances in Å follow each position.
Sites, in units of the cell vectors:
Al 0.0000 0.0000 0.0000  4 Pt 2.71, 4 Pd 2.71
Pd 0.2500 0.2500 0.2500  4 Pt 2.71, 4 Al 2.71
Pt 0.5000 0.5000 0.5000  4 Pt 2.71, 4 Pd 2.71
Pt 0.7500 0.7500 0.7500  4 Pt 2.71, 4 Al 2.71

## Properties
Raw total energy: -5.78 eV/atom

=====

[14]
Density functional theory data (GGA-PBE) for a relaxed Y3ErSc2P2Os crystal.

Cell: 4.0890 7.5120 7.5120 Å, 119.82 90.00 90.00°
Closest atoms and distances in Å follow each position.
Sites, in units of the cell vectors:
Y 0.0000 0.0000 0.0000  1 Os 2.94, 4 P 3.08
Y 0.0000 0.1782 0.5958  4 P 3.00-3.08, 1 Os 3.19, 2 Sc 3.27
Y 0.0000 0.5958 0.1782  4 P 3.00-3.08, 1 Os 3.19, 2 Sc 3.27
Er 0.5000 0.3525 0.3525  2 Os 2.82, 2 P 2.97
Sc 0.5000 0.5914 0.8367  2 Os 2.71, 2 P 2.87-2.88
Sc 0.5000 0.8367 0.5914  2 Os 2.71, 2 P 2.87-2.88
P 0.5000 0.2575 0.9188  2 Sc 2.87-2.88, 1 Er 2.97, 6 Y 3.00-3.08
P 0.5000 0.9188 0.2575  2 Sc 2.87-2.88, 1 Er 2.97, 6 Y 3.00-3.08
Os 0.0000 0.6096 0.6096  4 Sc 2.71, 2 Er 2.82, 1 Y 2.94

## Properties
Raw total energy: -7.35 eV/atom

=====

[15]
Density functional theory data (GGA-PBE) for a relaxed Cu3Ag17 crystal.

Cell: 5.8211 6.4203 10.0104 Å, 96.94 106.61 102.91°
Closest atoms and distances in Å follow each position.
Sites, in units of the cell vectors:
Cu 0.0000 0.0000 0.0000  2 Cu 2.69-2.71, 9 Ag 2.78-2.96
Cu 0.0940 0.6267 0.9069  2 Cu 2.69-2.70, 10 Ag 2.77-2.98
Cu 0.2797 0.8096 0.1864  2 Cu 2.70-2.71, 10 Ag 2.75-2.98
Ag 0.0935 0.6119 0.3923  11 Ag 2.88-2.98, 1 Cu 2.89
Ag 0.1915 0.2006 0.2890  2 Cu 2.81, 10 Ag 2.83-2.98
Ag 0.1923 0.2221 0.8041  10 Ag 2.82-2.97, 2 Cu 2.89-2.91
Ag 0.2928 0.8121 0.7014  11 Ag 2.87-2.98, 1 Cu 2.88
Ag 0.3861 0.4224 0.0947  3 Cu 2.80-2.96, 9 Ag 2.82-3.00
Ag 0.3932 0.4122 0.5960  12 Ag 2.89-2.98
Ag 0.4795 0.0069 0.0004  4 Cu 2.75-3.04, 8 Ag 2.87-2.96
Ag 0.4913 0.0093 0.4958  11 Ag 2.85-2.98, 1 Cu 2.98
Ag 0.5885 0.6150 0.3928  11 Ag 2.85-3.02, 1 Cu 2.93
Ag 0.5998 0.6183 0.8987  9 Ag 2.82-2.94, 3 Cu 2.82-2.98
Ag 0.6889 0.2089 0.2957  11 Ag 2.87-2.97, 1 Cu 2.92
Ag 0.6997 0.2131 0.8043  10 Ag 2.81-2.98, 2 Cu 2.92-2.94
Ag 0.7956 0.8144 0.1940  3 Cu 2.80-2.98, 9 Ag 2.83-2.95
Ag 0.8026 0.8161 0.7063  10 Ag 2.82-3.02, 2 Cu 2.82-2.83
Ag 0.8944 0.4174 0.6018  11 Ag 2.87-2.97, 1 Cu 2.96
Ag 0.8971 0.4097 0.0942  9 Ag 2.81-3.00, 3 Cu 2.81-2.93
Ag 0.9933 0.0132 0.4995  12 Ag 2.89-2.96

## Properties
Raw total energy: -2.92 eV/atom
Formation enthalpy at 0 K: 0.043 eV per atom

=====

[16]
Density functional theory data (GGA-PBE) for a relaxed KOsAu3S4 crystal.

Cell: 6.2695 6.2695 6.2695 Å, 90.00 90.00 90.00°
Closest atoms and distances in Å follow each position.
Sites, in units of the cell vectors:
K 0.0000 0.0000 0.0000  4 S 3.17
Os 0.5000 0.5000 0.5000  4 S 2.26
Au 0.0000 0.5000 0.5000  4 S 2.60
Au 0.5000 0.0000 0.5000  4 S 2.60
Au 0.5000 0.5000 0.0000  4 S 2.60
S 0.2917 0.2917 0.2917  1 Os 2.26
S 0.2917 0.7083 0.7083  1 Os 2.26
S 0.7083 0.2917 0.7083  1 Os 2.26
S 0.7083 0.7083 0.2917  1 Os 2.26

## Properties
Raw total energy: -4.24 eV/atom

=====

[17]
Density functional theory data (GGA-PBE) for a relaxed PmPuCu crystal.

Cell: 4.8597 4.8597 4.8597 Å, 60.00 60.00 60.00°
Closest atoms and distances in Å follow each position.
Sites, in units of the cell vectors:
Pm 0.0000 0.0000 0.0000  4 Cu 2.98
Pu 0.5000 0.5000 0.5000  4 Cu 2.98
Cu 0.2500 0.2500 0.2500  4 Pu 2.98, 4 Pm 2.98

## Properties
Raw total energy: -7.32 eV/atom
Formation enthalpy at 0 K: 0.214 eV per atom
Offset from the most stable computed form: 0 meV per atom

=====

[18]
Density functional theory data (GGA-PBE) for a relaxed NiPW crystal.

Cell: 3.9183 3.9183 5.9279 Å, 90.00 90.00 120.00°
Closest atoms and distances in Å follow each position.
Sites, in units of the cell vectors:
Ni 0.3333 0.6667 0.0000  4 P 2.31-2.36
Ni 0.6667 0.3333 0.5000  4 P 2.31-2.36
P 0.3333 0.6667 0.3888  4 Ni 2.31-2.36, 3 W 2.41
P 0.6667 0.3333 0.8888  4 Ni 2.31-2.36, 3 W 2.41
W 0.0000 0.0000 0.2464  3 P 2.41, 3 Ni 2.69
W 0.0000 0.0000 0.7464  3 P 2.41, 3 Ni 2.69

## Properties
Raw total energy: -8.06 eV/atom

=====

[19]
Density functional theory data (GGA-PBE) for a relaxed Er3SiNi4 crystal.

Cell: 5.1376 4.0974 6.4766 Å, 90.00 94.98 90.00°
Closest atoms and distances in Å follow each position.
Sites, in units of the cell vectors:
Er 0.0000 0.0000 0.0000  7 Ni 2.61-2.74
Er 0.2083 0.0000 0.4927  7 Ni 2.71-3.00
Er 0.7055 0.5000 0.6249  7 Ni 2.76-3.07
Si 0.4689 0.5000 0.1537  6 Ni 2.42-2.57
Ni 0.2363 0.5000 0.8075  1 Si 2.45, 2 Ni 2.50, 2 Er 2.74
Ni 0.4884 0.0000 0.9194  3 Ni 2.50-2.54, 2 Si 2.56, 2 Er 2.61-2.63
Ni 0.6557 0.0000 0.2995  2 Si 2.42, 3 Ni 2.54-2.60
Ni 0.9603 0.5000 0.2662  2 Si 2.57-2.77, 2 Ni 2.60, 5 Er 2.70-2.77

## Properties
Raw total energy: -5.65 eV/atom

=====

[20]
Density functional theory data (GGA-PBE) for a relaxed CsMoPtAu crystal.

Cell: 5.0015 5.0015 5.0015 Å, 60.00 60.00 60.00°
Closest atoms and distances in Å follow each position.
Sites, in units of the cell vectors:
Cs 0.0000 0.0000 0.0000  4 Mo 3.06, 4 Au 3.06
Mo 0.7500 0.7500 0.7500  4 Pt 3.06, 4 Cs 3.06
Pt 0.5000 0.5000 0.5000  4 Mo 3.06, 4 Au 3.06
Au 0.2500 0.2500 0.2500  4 Pt 3.06, 4 Cs 3.06

## Properties
Raw total energy: -4.05 eV/atom
Offset from the most stable computed form: 96 meV per atom